Here is a geometry-optimized BaTiCr2O8 structure from the Alexandria database. Energies are from PBE with a Hubbard U.

Summary:
Size of the total moment in μB per formula unit: 2.00
Volume in Å³ per atom: 16.01
Theoretical density in kg/m³: 3605

Cell and atoms, written as CIF:
```
data_BaTiCr2O8
_chemical_formula_sum 'Ba1 Ti1 Cr2 O8'
_symmetry_space_group_name_H-M 'P -3'
_symmetry_Int_Tables_number 147
_cell_length_a 5.5314
_cell_length_b 5.5314
_cell_length_c 7.2515
_cell_angle_alpha 90.00
_cell_angle_beta 90.00
_cell_angle_gamma 120.00
loop_
_symmetry_equiv_pos_as_xyz
'x,y,z'
'-x,-y,-z'
'-y,x-y,z'
'y,-x+y,-z'
'-x+y,-x,z'
'x-y,x,-z'
loop_
_atom_site_label
_atom_site_type_symbol
_atom_site_fract_x
_atom_site_fract_y
_atom_site_fract_z
_atom_site_occupancy
Ba1 Ba 0.0000 0.0000 0.0000 1
Ti1 Ti 0.0000 0.0000 0.5000 1
Cr1 Cr 0.3333 0.6667 0.7405 1
O1 O 0.1601 0.3232 0.6652 1
O2 O 0.3333 0.6667 0.9707 1
```

Here is a geometry-optimized Ta3WF structure from the Alexandria database. Energies are from PBE with a Hubbard U.

Summary:
Size of the total moment in μB per formula unit: 1.34
Volume in Å³ per atom: 24.32
Theoretical density in kg/m³: 10182
E above lowest polymorph in eV per formula unit: 6.93

Cell and atoms, written as CIF:
```
data_Ta3WF
_chemical_formula_sum 'Ta3 W1 F1'
_symmetry_space_group_name_H-M 'P m -3 m'
_symmetry_Int_Tables_number 221
_symmetry_space_group_name_Hall '-P 4 2 3'
_cell_length_a 4.954
_cell_length_b 4.954
_cell_length_c 4.954
_cell_angle_alpha 90.00
_cell_angle_beta 90.00
_cell_angle_gamma 90.00
loop_
_atom_site_label
_atom_site_type_symbol
_atom_site_fract_x
_atom_site_fract_y
_atom_site_fract_z
_atom_site_occupancy
Ta1 Ta 0.000 0.000 0.500 1
W1 W 0.000 0.000 0.000 1
F1 F 0.500 0.500 0.500 1
```

| no. | VASP energy (eV/f.u.) |
| --- | --- |
| 1 | -88.72 |
| 2 | -35.56 |